The following is a DFT calculation (PBE) of a relaxed ZrHgBi crystal.

Cell: 3.3359 5.1382 5.1382 Å, 120.00 90.00 90.00°
Last column: nearest neighbours and their distance in Å.
Atoms (fractional coordinates):
Bi: 0.6519 0.6667 0.3333  6 Hg 3.24-3.60, 6 Zr 3.30-3.52, 2 Bi 3.34
Zr: 0.0840 0.0000 0.0000  3 Hg 3.03, 3 Bi 3.30, 2 Zr 3.34
Hg: 0.2641 0.3333 0.6667  3 Zr 3.03, 3 Bi 3.24, 2 Hg 3.34

Properties
- N(E_F) (states/eV/atom) = 1.214
- DFT total energy (eV/atom) = -4.164

---

The following is a DFT calculation (PBE) of a relaxed TbCu5Pd6 crystal.

Cell: 4.1119 7.1325 6.4415 Å, 90.00 108.62 90.00°
Last column: nearest neighbours and their distance in Å.
Atoms (fractional coordinates):
Cu: 0.3351 0.5000 0.6718  8 Pd 2.60-2.66, 2 Cu 2.87
Cu: 0.0000 0.5000 0.0000  8 Pd 2.64-2.68, 4 Cu 2.87
Cu: 0.3219 0.0000 0.6434  8 Pd 2.64-2.90, 2 Cu 2.70
Pd: 0.8292 0.2642 0.6589  7 Cu 2.63-2.79, 1 Tb 2.81, 4 Pd 2.83-2.93
Pd: 0.1708 0.2642 0.3411  7 Cu 2.63-2.79, 1 Tb 2.81, 4 Pd 2.83-2.93
Cu: 0.6781 0.0000 0.3566  8 Pd 2.64-2.90, 2 Cu 2.70
Pd: 0.1708 0.7358 0.3411  7 Cu 2.63-2.79, 1 Tb 2.81, 4 Pd 2.83-2.93
Pd: 0.5000 0.2676 0.0000  6 Cu 2.60-2.90, 2 Tb 2.81
Cu: 0.6649 0.5000 0.3282  8 Pd 2.60-2.66, 2 Cu 2.87
Pd: 0.8292 0.7358 0.6589  7 Cu 2.63-2.79, 1 Tb 2.81, 4 Pd 2.83-2.93
Tb: 0.0000 0.0000 0.0000  8 Pd 2.81, 4 Cu 2.99-3.00
Pd: 0.5000 0.7324 0.0000  6 Cu 2.60-2.90, 2 Tb 2.81

Properties
- N(E_F) (states/eV/atom) = 0.337
- DFT total energy (eV/atom) = -5.004

---

The following is a DFT calculation (PBE) of a relaxed CoAg2Mo crystal.

Cell: 5.1280 5.1280 5.1280 Å, 137.34 137.34 61.91°
Last column: nearest neighbours and their distance in Å.
Atoms (fractional coordinates):
Mo: 0.7500 0.2500 0.5000  4 Co 2.64, 8 Ag 2.88
Ag: 0.5000 0.5000 0.0000  4 Ag 2.64, 4 Mo 2.88, 4 Co 2.88
Co: 0.2500 0.7500 0.5000  4 Mo 2.64, 8 Ag 2.88
Ag: 0.0000 0.0000 0.0000  4 Ag 2.64, 4 Mo 2.88, 4 Co 2.88

Properties
- N(E_F) (states/eV/atom) = 1.185
- DFT total energy (eV/atom) = -5.253

---

The following is a DFT calculation (PBE) of a relaxed CrPRh2 crystal.

Cell: 2.8600 2.8600 6.7051 Å, 90.00 90.00 90.00°
Last column: nearest neighbours and their distance in Å.
Atoms (fractional coordinates):
Cr: 0.5000 0.5000 0.2500  8 Rh 2.78, 4 Cr 2.86
P: 0.5000 0.5000 0.7500  8 Rh 2.49
Rh: 0.0000 0.0000 0.5335  4 P 2.49, 4 Cr 2.78
Rh: 0.0000 0.0000 0.9665  4 P 2.49, 4 Cr 2.78

Properties
- N(E_F) (states/eV/atom) = 1.434
- DFT total energy (eV/atom) = -7.580

---

The following is a DFT calculation (PBE) of a relaxed Pm2In9Pd3 crystal.

Cell: 8.3509 8.3509 11.5282 Å, 90.04 111.16 120.04°
Last column: nearest neighbours and their distance in Å.
Atoms (fractional coordinates):
Pd: 0.1663 0.8331 0.4998  8 In 2.78-2.93
In: 0.8853 0.1353 0.7500  2 Pd 2.79, 2 In 3.10
Pd: 0.1667 0.3335 0.9998  8 In 2.78-2.93
In: 0.5518 0.0821 0.2511  2 Pd 2.78-2.80, 2 In 3.09-3.10
In: 0.5577 0.3661 0.0745  3 Pd 2.82-2.93, 4 In 3.10-3.14
In: 0.2168 0.6841 0.0750  3 Pd 2.83-2.93, 4 In 3.09-3.14
In: 0.8688 0.0208 0.0653  3 Pd 2.81-2.90
Pd: 0.5000 0.5000 0.5000  8 In 2.80-2.92
In: 0.4555 0.8035 0.4347  3 Pd 2.81-2.90
In: 0.5445 0.1965 0.5653  3 Pd 2.81-2.90
Pm: 0.9995 0.4149 0.2483  11 In 3.30-3.42
Pd: 0.8337 0.1669 0.5002  8 In 2.78-2.93
Pd: 0.8333 0.6665 0.0002  8 In 2.78-2.93
In: 0.7832 0.3159 0.9250  3 Pd 2.83-2.93, 4 In 3.09-3.14
In: 0.2084 0.5168 0.5745  3 Pd 2.82-2.93, 4 In 3.10-3.14
Pm: 0.6666 0.7512 0.2517  11 In 3.30-3.42
In: 0.6690 0.6993 0.7511  2 Pd 2.78-2.80, 2 In 3.09-3.10
In: 0.1092 0.1419 0.4250  3 Pd 2.83-2.93, 4 In 3.09-3.14
In: 0.3310 0.3007 0.2489  2 Pd 2.78-2.80, 2 In 3.09-3.10
In: 0.4423 0.6339 0.9255  3 Pd 2.82-2.93, 4 In 3.10-3.14
In: 0.1312 0.9792 0.9347  3 Pd 2.81-2.90
Pm: 0.0005 0.5851 0.7517  11 In 3.30-3.42
Pd: 0.5000 0.0000 0.0000  8 In 2.80-2.92
In: 0.8908 0.8581 0.5750  3 Pd 2.83-2.93, 4 In 3.09-3.14
Pm: 0.3334 0.2488 0.7483  11 In 3.30-3.42
In: 0.1147 0.8647 0.2500  2 Pd 2.79, 2 In 3.10
In: 0.7916 0.4832 0.4255  3 Pd 2.82-2.93, 4 In 3.10-3.14
In: 0.4482 0.9179 0.7489  2 Pd 2.78-2.80, 2 In 3.09-3.10

Properties
- N(E_F) (states/eV/atom) = 0.427
- DFT total energy (eV/atom) = -4.016

---

The following is a DFT calculation (PBE) of a relaxed Er6TlPt2Se3 crystal.

Cell: 3.9530 8.6013 9.6052 Å, 111.63 101.88 90.00°
Last column: nearest neighbours and their distance in Å.
Atoms (fractional coordinates):
Se: 0.1666 0.8186 0.3331  6 Er 2.80-3.08
Se: 0.5000 0.5000 0.0000  4 Er 2.79
Er: 0.0041 0.7326 0.0082  3 Se 2.79-2.86, 1 Pt 2.90, 2 Tl 3.06
Er: 0.3267 0.9171 0.6533  3 Se 2.80-2.98, 2 Pt 2.84, 1 Tl 3.06
Er: 0.3218 0.4451 0.6435  3 Pt 2.84-2.89, 2 Se 3.08
Tl: 0.5000 0.0000 0.0000  6 Er 3.06
Pt: 0.1557 0.3035 0.3113  6 Er 2.84-2.90
Pt: 0.8443 0.6965 0.6887  6 Er 2.84-2.90
Er: 0.6733 0.0829 0.3467  3 Se 2.80-2.98, 2 Pt 2.84, 1 Tl 3.06
Er: 0.6782 0.5549 0.3565  3 Pt 2.84-2.89, 2 Se 3.08
Se: 0.8334 0.1814 0.6669  6 Er 2.80-3.08
Er: 0.9959 0.2674 0.9918  3 Se 2.79-2.86, 1 Pt 2.90, 2 Tl 3.06

Properties
- N(E_F) (states/eV/atom) = 0.547
- formation energy without anion corrections (meV/atom) = -1314

---

The following is a DFT calculation (PBE) of a relaxed NdTm3Sc7 crystal.

Cell: 5.4308 7.9708 7.9708 Å, 82.16 109.95 109.95°
Last column: nearest neighbours and their distance in Å.
Atoms (fractional coordinates):
Sc: 0.2077 0.2073 0.2073  2 Tm 3.11, 1 Nd 3.14, 6 Sc 3.34-3.37
Sc: 0.0000 0.5000 0.5000  2 Nd 2.72
Tm: 0.0000 0.7928 0.2072  5 Sc 3.07-3.22
Sc: 0.2828 0.9734 0.5927  2 Tm 3.06-3.22, 5 Sc 3.07-3.37
Tm: 0.5000 0.0000 0.0000  4 Sc 3.06
Tm: 0.0000 0.2072 0.7928  5 Sc 3.07-3.22
Sc: 0.7172 0.4073 0.0266  2 Tm 3.06-3.22, 5 Sc 3.07-3.37
Sc: 0.7923 0.7927 0.7927  2 Tm 3.11, 1 Nd 3.14, 6 Sc 3.34-3.37
Sc: 0.7172 0.0266 0.4073  2 Tm 3.06-3.22, 5 Sc 3.07-3.37
Sc: 0.2828 0.5927 0.9734  2 Tm 3.06-3.22, 5 Sc 3.07-3.37
Nd: 0.5000 0.5000 0.5000  2 Sc 2.72

Properties
- N(E_F) (states/eV/atom) = 1.753
- DFT total energy (eV/atom) = -5.396

---

The following is a DFT calculation (PBE) of a relaxed MgTaRe crystal.

Cell: 4.4223 4.4223 4.4223 Å, 60.00 60.00 60.00°
Last column: nearest neighbours and their distance in Å.
Atoms (fractional coordinates):
Mg: 0.0000 0.0000 0.0000  4 Ta 2.71
Ta: 0.7500 0.7500 0.7500  4 Mg 2.71, 4 Re 2.71
Re: 0.5000 0.5000 0.5000  4 Ta 2.71

Properties
- N(E_F) (states/eV/atom) = 0.424
- DFT total energy (eV/atom) = -7.710

---

The following is a DFT calculation (PBE) of a relaxed K2TlCr crystal.

Cell: 4.9571 5.1026 7.0208 Å, 68.71 90.00 90.00°
Last column: nearest neighbours and their distance in Å.
Atoms (fractional coordinates):
Cr: 0.5000 0.5754 0.7240  2 Tl 2.82
K: 0.5000 0.2759 0.3230  3 Cr 3.66-3.92, 4 Tl 3.78
Tl: 0.0000 0.6779 0.5196  2 Cr 2.82
K: 0.0000 0.9708 0.9334  3 Tl 3.72-3.83, 4 Cr 3.81

Properties
- N(E_F) (states/eV/atom) = 0.514
- DFT total energy (eV/atom) = -3.074

---

The following is a DFT calculation (PBE) of a relaxed CaAc2In crystal.

Cell: 5.0972 5.3986 5.3986 Å, 90.00 90.00 90.00°
Last column: nearest neighbours and their distance in Å.
Atoms (fractional coordinates):
In: 0.5000 0.0000 0.0000  8 Ac 3.71, 4 Ca 3.82
Ca: 0.5000 0.5000 0.5000  8 Ac 3.71, 4 In 3.82
Ac: 0.0000 0.0000 0.5000  4 In 3.71, 4 Ca 3.71, 4 Ac 3.82
Ac: 0.0000 0.5000 0.0000  4 In 3.71, 4 Ca 3.71, 4 Ac 3.82

Properties
- N(E_F) (states/eV/atom) = 1.228
- DFT total energy (eV/atom) = -3.421

---

The following is a DFT calculation (PBE) of a relaxed K2NaAs2O6 crystal.

Cell: 6.0855 6.0855 7.1937 Å, 64.98 64.98 60.00°
Last column: nearest neighbours and their distance in Å.
Atoms (fractional coordinates):
O: 0.7341 0.2574 0.7511  1 As 1.70
O: 0.7426 0.2659 0.2489  1 As 1.70
O: 0.2574 0.2574 0.7511  1 As 1.70
K: 0.7917 0.7917 0.6249  9 O 2.99-3.15
O: 0.2574 0.7341 0.7511  1 As 1.70
As: 0.5693 0.5693 0.2920  3 O 1.70
K: 0.2083 0.2083 0.3751  9 O 2.99-3.15
O: 0.2659 0.7426 0.2489  1 As 1.70
As: 0.4307 0.4307 0.7080  3 O 1.70
Na: 0.0000 0.0000 0.0000  6 O 2.41
O: 0.7426 0.7426 0.2489  1 As 1.70

Properties
- N(E_F) (states/eV/atom) = 0.210
- formation energy without anion corrections (meV/atom) = -1416

---

The following is a DFT calculation (PBE) of a relaxed La4TlIn crystal.

Cell: 4.2477 4.2477 10.4243 Å, 90.00 90.00 90.00°
Last column: nearest neighbours and their distance in Å.
Atoms (fractional coordinates):
La: 0.0000 0.0000 0.6618  5 La 3.37-3.53, 4 Tl 3.44, 1 In 3.53
Tl: 0.5000 0.5000 0.5000  10 La 3.44-3.53
La: 0.5002 0.5001 0.8388  5 La 3.36-3.53, 4 In 3.44, 1 Tl 3.53
La: 0.0000 0.0000 0.3382  5 La 3.37-3.53, 4 Tl 3.44, 1 In 3.53
In: 0.0000 0.0000 0.0000  10 La 3.44-3.53
La: 0.4998 0.4999 0.1612  5 La 3.36-3.53, 4 In 3.44, 1 Tl 3.53

Properties
- N(E_F) (states/eV/atom) = 1.373
- DFT total energy (eV/atom) = -4.434

---

The following is a DFT calculation (PBE) of a relaxed BaAc2Sn2 crystal.

Cell: 5.8113 5.8113 7.2846 Å, 66.49 66.49 59.99°
Last column: nearest neighbours and their distance in Å.
Atoms (fractional coordinates):
Sn: 0.5817 0.0817 0.2550  1 Sn 3.17, 3 Ac 3.41
Ac: 0.7838 0.2838 0.6486  3 Sn 3.41
Ba: 0.0000 0.5000 0.0000  6 Sn 3.74, 6 Ac 4.05
Ac: 0.2162 0.7162 0.3514  3 Sn 3.41
Sn: 0.4183 0.9183 0.7450  1 Sn 3.17, 3 Ac 3.41

Properties
- N(E_F) (states/eV/atom) = 0.533
- DFT total energy (eV/atom) = -4.118

---

The following is a DFT calculation (PBE) of a relaxed YRePCl2 crystal.

Cell: 4.8288 4.8288 4.6261 Å, 90.00 90.00 90.00°
Last column: nearest neighbours and their distance in Å.
Atoms (fractional coordinates):
Y: 0.5000 0.5000 0.5000  8 Cl 3.34, 4 P 3.41
Re: 0.0000 0.0000 0.0000  2 P 2.31, 4 Cl 2.41
P: 0.0000 0.0000 0.5000  2 Re 2.31
Cl: 0.0000 0.5000 0.0000  2 Re 2.41
Cl: 0.5000 0.0000 0.0000  2 Re 2.41

Properties
- N(E_F) (states/eV/atom) = 0.899
- formation energy without anion corrections (meV/atom) = -16

---

The following is a DFT calculation (PBE) of a relaxed LiTc2MoN4 crystal.

Cell: 5.4726 5.7256 6.1968 Å, 90.00 90.00 90.00°
Last column: nearest neighbours and their distance in Å.
Atoms (fractional coordinates):
N: 0.3676 0.6442 0.2336  2 Tc 1.94-1.98, 1 Mo 1.95, 1 Li 2.07
N: 0.4150 0.1446 0.5000  2 Tc 1.95, 1 Mo 2.03
Tc: 0.5150 0.3291 0.2497  4 N 1.94-2.00
N: 0.3321 0.1928 0.0000  1 Mo 1.97, 2 Tc 2.00, 1 Li 2.15
Li: 0.5145 0.8608 0.0000  4 N 2.07-2.19
N: 0.8676 0.3558 0.2664  2 Tc 1.94-1.98, 1 Mo 1.95, 1 Li 2.07
N: 0.8321 0.8072 0.5000  1 Mo 1.97, 2 Tc 2.00, 1 Li 2.15
Tc: 0.0150 0.6709 0.2503  4 N 1.94-2.00
N: 0.9150 0.8554 0.0000  2 Tc 1.95, 1 Mo 2.03
N: 0.3676 0.6442 0.7664  2 Tc 1.94-1.98, 1 Mo 1.95, 1 Li 2.07
Mo: 0.4731 0.7936 0.5000  4 N 1.95-2.03
Li: 0.0145 0.1392 0.5000  4 N 2.07-2.19
Mo: 0.9731 0.2064 0.0000  4 N 1.95-2.03
Tc: 0.5150 0.3291 0.7503  4 N 1.94-2.00
Tc: 0.0150 0.6709 0.7497  4 N 1.94-2.00
N: 0.8676 0.3558 0.7336  2 Tc 1.94-1.98, 1 Mo 1.95, 1 Li 2.07

Properties
- N(E_F) (states/eV/atom) = 0.296
- formation energy without anion corrections (meV/atom) = -112

---

The following is a DFT calculation (PBE) of a relaxed SrSnPb2 crystal.

Cell: 8.9114 8.9114 7.1812 Å, 51.65 51.65 90.00°
Last column: nearest neighbours and their distance in Å.
Atoms (fractional coordinates):
Pb: 0.6655 0.1250 0.2500  2 Sn 3.03
Pb: 0.3750 0.3345 0.7500  2 Sn 3.03
Sr: 0.5000 0.5000 0.0000  2 Sn 3.44, 4 Pb 3.52
Sn: 0.7500 0.2500 0.5000  4 Pb 3.03
Sr: 0.2500 0.7500 0.5000  2 Sn 3.44, 4 Pb 3.52
Pb: 0.8750 0.9155 0.7500  2 Sn 3.03
Pb: 0.0845 0.6250 0.2500  2 Sn 3.03
Sn: 0.0000 0.0000 0.0000  4 Pb 3.03

Properties
- N(E_F) (states/eV/atom) = 0.019
- DFT total energy (eV/atom) = -3.516

---

The following is a DFT calculation (PBE) of a relaxed Tb2Er2Cu crystal.

Cell: 3.4801 3.4801 11.4768 Å, 98.72 98.72 90.00°
Last column: nearest neighbours and their distance in Å.
Atoms (fractional coordinates):
Tb: 0.8063 0.8063 0.6125  8 Tb 3.48-3.52, 4 Er 3.62
Tb: 0.1937 0.1937 0.3875  8 Tb 3.48-3.52, 4 Er 3.62
Cu: 0.0000 0.0000 0.0000  8 Er 2.98
Er: 0.4249 0.4249 0.8497  4 Cu 2.98
Er: 0.5751 0.5751 0.1503  4 Cu 2.98

Properties
- N(E_F) (states/eV/atom) = 1.166
- DFT total energy (eV/atom) = -4.580

---

The following is a DFT calculation (PBE) of a relaxed PmGd2Ho crystal.

Cell: 3.5829 3.5829 11.8882 Å, 81.33 81.33 60.00°
Last column: nearest neighbours and their distance in Å.
Atoms (fractional coordinates):
Gd: 0.7488 0.7488 0.7535  3 Ho 3.55, 6 Gd 3.58, 3 Pm 3.62
Ho: 0.0000 0.0000 0.0000  6 Gd 3.55, 6 Ho 3.58
Pm: 0.5000 0.5000 0.5000  6 Pm 3.58, 6 Gd 3.62
Gd: 0.2512 0.2512 0.2465  3 Ho 3.55, 6 Gd 3.58, 3 Pm 3.62

Properties
- N(E_F) (states/eV/atom) = 1.690
- DFT total energy (eV/atom) = -9.348

---

The following is a DFT calculation (PBE) of a relaxed GaCo2Mo crystal.

Cell: 2.7246 2.7246 6.7164 Å, 90.00 90.00 90.00°
Last column: nearest neighbours and their distance in Å.
Atoms (fractional coordinates):
Co: 0.0000 0.0000 0.2359  4 Ga 2.49, 4 Mo 2.62, 4 Co 2.72
Co: 0.0000 0.0000 0.7641  4 Ga 2.49, 4 Mo 2.62, 4 Co 2.72
Ga: 0.5000 0.5000 0.0000  8 Co 2.49, 4 Ga 2.72
Mo: 0.5000 0.5000 0.5000  8 Co 2.62, 4 Mo 2.72

Properties
- N(E_F) (states/eV/atom) = 0.755
- DFT total energy (eV/atom) = -7.163

---

The following is a DFT calculation (PBE) of a relaxed RbSr2Hg6 crystal.

Cell: 3.9823 9.0710 9.0710 Å, 120.00 90.00 90.00°
Last column: nearest neighbours and their distance in Å.
Atoms (fractional coordinates):
Hg: 0.5000 0.0000 0.6634  3 Hg 2.96-3.05
Hg: 0.5000 0.3366 0.0000  3 Hg 2.96-3.05
Hg: 0.5000 0.6634 0.6634  3 Hg 2.96-3.05
Rb: 0.0000 0.0000 0.0000  12 Hg 3.65, 2 Rb 3.98
Hg: 0.5000 0.3366 0.3366  3 Hg 2.96-3.05
Sr: 0.0000 0.6667 0.3333  12 Hg 3.61, 2 Sr 3.98
Hg: 0.5000 0.6634 0.0000  3 Hg 2.96-3.05
Hg: 0.5000 0.0000 0.3366  3 Hg 2.96-3.05
Sr: 0.0000 0.3333 0.6667  12 Hg 3.61, 2 Sr 3.98

Properties
- N(E_F) (states/eV/atom) = 0.520
- DFT total energy (eV/atom) = -1.057